An optimized crystal structure of PmGdPt. Source: the Alexandria database, functional PBE.

Computed properties:
space group = F-43m (216)
ΔH_f (0 K) = -2.3 eV/f.u.
energy relative to the lowest polymorph listed for this composition = 0 meV per atom

Cell: 4.950 4.950 4.950 Å, 60.00 60.00 60.00°
Fractional positions:
Pm  0.500  0.500  0.500
Gd  0.000  0.000  0.000
Pt  0.250  0.250  0.250